Material: Sr2InCu3O6
Method: DFT, PBE
State: optimized geometry

Calculated values
Total magnetization (μB/cell): 0.0
Uncorrected energy (eV per atom): -5.448
Formation energy from raw total energies (eV per atom): -1.4367
Symmetry: P4/mmm

```
data_Sr2InCu3O6
_chemical_formula_sum 'Sr2 In1 Cu3 O6'
_cell_length_a 3.792
_cell_length_b 3.792
_cell_length_c 11.651
_cell_angle_alpha 90.00
_cell_angle_beta 90.00
_cell_angle_gamma 90.00
_symmetry_space_group_name_H-M 'P 1'
_symmetry_Int_Tables_number 1
loop_
_symmetry_equiv_pos_as_xyz
'x,y,z'
loop_
_atom_site_label
_atom_site_type_symbol
_atom_site_fract_x
_atom_site_fract_y
_atom_site_fract_z
O1 O 0.000 0.500 0.621
Sr1 Sr 0.500 0.500 0.200
Cu1 Cu 0.000 0.000 0.358
O2 O 0.500 0.000 0.379
Cu2 Cu 0.000 0.000 0.000
O3 O 0.000 0.500 0.379
O4 O 0.500 0.000 0.621
Cu3 Cu 0.000 0.000 0.642
Sr2 Sr 0.500 0.500 0.800
O5 O 0.000 0.000 0.156
O6 O 0.000 0.000 0.844
In1 In 0.500 0.500 0.500
```

---

Material: InCu2TcO6
Method: DFT, PBE
State: optimized geometry

Calculated values
Total magnetization (μB/cell): 0.1
Uncorrected energy (eV per atom): -6.000
Formation energy from raw total energies (eV per atom): -0.8956
Symmetry: C2/c

```
data_InCu2TcO6
_chemical_formula_sum 'In2 Cu4 Tc2 O12'
_cell_length_a 5.629
_cell_length_b 7.604
_cell_length_c 7.604
_cell_angle_alpha 76.12
_cell_angle_beta 68.28
_cell_angle_gamma 68.28
_symmetry_space_group_name_H-M 'P 1'
_symmetry_Int_Tables_number 1
loop_
_symmetry_equiv_pos_as_xyz
'x,y,z'
loop_
_atom_site_label
_atom_site_type_symbol
_atom_site_fract_x
_atom_site_fract_y
_atom_site_fract_z
O1 O 0.491 0.888 0.323
O2 O 0.541 0.563 0.733
Cu1 Cu 0.265 0.294 0.249
O3 O 0.041 0.733 0.563
Tc1 Tc 0.750 0.901 0.099
O4 O 0.978 0.013 0.174
O5 O 0.509 0.112 0.677
In1 In 0.750 0.272 0.728
O6 O 0.959 0.267 0.437
O7 O 0.991 0.323 0.888
O8 O 0.478 0.174 0.013
O9 O 0.459 0.437 0.267
Cu2 Cu 0.735 0.706 0.751
Cu3 Cu 0.765 0.249 0.294
O10 O 0.022 0.987 0.826
In2 In 0.250 0.728 0.272
Cu4 Cu 0.235 0.751 0.706
O11 O 0.009 0.677 0.112
O12 O 0.522 0.826 0.987
Tc2 Tc 0.250 0.099 0.901
```

---

Material: InCuTeO6
Method: DFT, PBE
State: optimized geometry

Calculated values
Total magnetization (μB/cell): 3.6
Uncorrected energy (eV per atom): -5.326
Formation energy from raw total energies (eV per atom): -0.9125
Symmetry: P4_2nm

```
data_InCuTeO6
_chemical_formula_sum 'In2 Cu2 Te2 O12'
_cell_length_a 4.761
_cell_length_b 4.761
_cell_length_c 9.465
_cell_angle_alpha 90.00
_cell_angle_beta 90.00
_cell_angle_gamma 90.00
_symmetry_space_group_name_H-M 'P 1'
_symmetry_Int_Tables_number 1
loop_
_symmetry_equiv_pos_as_xyz
'x,y,z'
loop_
_atom_site_label
_atom_site_type_symbol
_atom_site_fract_x
_atom_site_fract_y
_atom_site_fract_z
Te1 Te 0.500 0.500 0.834
In1 In 0.000 0.000 0.669
In2 In 0.500 0.500 0.169
O1 O 0.304 0.304 0.987
Cu1 Cu 0.500 0.500 0.500
O2 O 0.819 0.181 0.172
O3 O 0.181 0.819 0.172
Cu2 Cu 0.000 0.000 0.000
O4 O 0.207 0.793 0.840
O5 O 0.707 0.707 0.340
O6 O 0.196 0.804 0.487
O7 O 0.696 0.696 0.987
O8 O 0.804 0.196 0.487
O9 O 0.293 0.293 0.340
Te2 Te 0.000 0.000 0.334
O10 O 0.681 0.681 0.672
O11 O 0.793 0.207 0.840
O12 O 0.319 0.319 0.672
```

---

- The lowest formation energy from raw total energies belongs to which entry?
  Sr2InCu3O6

---

- Which value of uncorrected energy does entry 2 give?
  -6.000 eV per atom